VASP calculation (PBE) on an optimized crystal structure of LaIn2Cu6.

Unit cell a=3.9866 b=7.3250 c=7.3250 alpha=53.77 beta=74.21 gamma=74.21
Fractional positions:
Cu 0.6858 0.6124 0.0159
Cu 0.5000 0.6785 0.3215
Cu 0.3142 0.9841 0.3876
Cu 0.6858 0.0159 0.6124
Cu 0.3142 0.3876 0.9841
In 0.8685 0.6315 0.6315
In 0.1315 0.3685 0.3685
La 0.0000 0.0000 0.0000
Cu 0.5000 0.3215 0.6785

Summary:
energy relative to the elements: -0.004 eV/atom
D(E_F): 3.99 states/eV/cell
VASP energy: -3.891 eV/atom
space group: Immm
total magnetization: 0.00 μB/f.u.



VASP calculation (PBE) on an optimized crystal structure of LaIn2Cu9.

Unit cell a=8.5785 b=8.5785 c=5.0239 alpha=90.00 beta=90.00 gamma=90.00
Fractional positions:
Cu 0.4354 0.2926 0.5000
Cu 0.6764 0.1764 0.7512
In 0.6227 0.8773 0.0000
In 0.1227 0.6227 0.0000
Cu 0.0646 0.7926 0.5000
Cu 0.2926 0.5646 0.5000
La 0.5000 0.5000 0.0000
Cu 0.9354 0.2074 0.5000
Cu 0.8236 0.6764 0.2488
Cu 0.7926 0.9354 0.5000
Cu 0.5646 0.7074 0.5000
Cu 0.0000 0.5000 0.5000
Cu 0.3236 0.8236 0.7512
Cu 0.1764 0.3236 0.7512
Cu 0.3236 0.8236 0.2488
Cu 0.2074 0.0646 0.5000
La 0.0000 0.0000 0.0000
In 0.8773 0.3773 0.0000
Cu 0.7074 0.4354 0.5000
Cu 0.5000 0.0000 0.5000
Cu 0.1764 0.3236 0.2488
In 0.3773 0.1227 0.0000
Cu 0.8236 0.6764 0.7512
Cu 0.6764 0.1764 0.2488

Summary:
energy relative to the elements: -0.144 eV/atom
D(E_F): 10.76 states/eV/cell
VASP energy: -4.083 eV/atom
space group: P4/mbm
total magnetization: 0.00 μB/f.u.



VASP calculation (PBE) on an optimized crystal structure of La6InCu2.

Unit cell a=8.9816 b=8.9816 c=8.9816 alpha=105.55 beta=108.49 gamma=114.50
Fractional positions:
In 0.0000 0.0000 0.0000
La 0.6982 0.0183 0.3201
La 0.8036 0.2362 0.0398
La 0.3018 0.6219 0.3201
La 0.8036 0.7638 0.5674
La 0.0967 0.2838 0.8129
La 0.9033 0.7162 0.1871
Cu 0.5000 0.3844 0.8844
La 0.6982 0.3781 0.6799
In 0.0000 0.5000 0.5000
La 0.1964 0.7638 0.9602
La 0.5291 0.7162 0.8129
Cu 0.6428 0.0000 0.6428
Cu 0.5000 0.6156 0.1156
La 0.3018 0.9817 0.6799
La 0.4709 0.2838 0.1871
Cu 0.3572 0.0000 0.3572
La 0.1964 0.2362 0.4326

Summary:
energy relative to the elements: -0.175 eV/atom
D(E_F): 23.22 states/eV/cell
VASP energy: -4.675 eV/atom
space group: Immm
total magnetization: 0.00 μB/f.u.



VASP calculation (PBE) on an optimized crystal structure of La3In7Cu4.

Unit cell a=4.5900 b=8.8421 c=8.9661 alpha=69.81 beta=75.17 gamma=74.96
Fractional positions:
In 0.0000 0.0000 0.0000
La 0.3118 0.1776 0.1987
La 0.6882 0.8224 0.8013
In 0.4942 0.2266 0.7850
In 0.3259 0.8149 0.5333
In 0.6741 0.1851 0.4667
Cu 0.8697 0.9071 0.3535
In 0.5058 0.7734 0.2150
In 0.1636 0.5982 0.0747
In 0.8364 0.4018 0.9253
Cu 0.6587 0.4590 0.2237
Cu 0.3413 0.5410 0.7763
La 0.0000 0.5000 0.5000
Cu 0.1303 0.0929 0.6465

Summary:
energy relative to the elements: -0.345 eV/atom
D(E_F): 7.02 states/eV/cell
VASP energy: -3.940 eV/atom
space group: C2/m
total magnetization: 0.00 μB/f.u.



VASP calculation (PBE) on an optimized crystal structure of La7In2Cu2.

Unit cell a=7.2023 b=7.2882 c=7.2023 alpha=89.98 beta=109.46 gamma=90.02
Fractional positions:
Cu 0.7163 0.0000 0.2837
Cu 0.2837 0.0000 0.7163
La 0.4998 0.2301 0.5002
In 0.1712 0.5000 0.1712
La 0.5003 0.7315 0.9998
La 0.0002 0.7315 0.4997
In 0.8288 0.5000 0.8288
La 0.0000 0.0000 0.0000
La 0.9998 0.2685 0.5003
La 0.5002 0.7699 0.4998
La 0.4997 0.2685 0.0002

Summary:
energy relative to the elements: -0.109 eV/atom
D(E_F): 13.98 states/eV/cell
VASP energy: -4.487 eV/atom
space group: Cmmm
total magnetization: 0.00 μB/f.u.



VASP calculation (PBE) on an optimized crystal structure of La2In3Cu.

Unit cell a=6.2672 b=6.2672 c=9.3218 alpha=105.45 beta=105.45 gamma=101.97
Fractional positions:
In 0.3453 0.8284 0.1737
La 0.2552 0.2552 0.0000
Cu 0.3325 0.3325 0.6649
La 0.7448 0.7448 0.0000
In 0.1731 0.1731 0.3461
In 0.8284 0.3453 0.1737
La 0.2500 0.7500 0.5000
Cu 0.6675 0.6675 0.3351
In 0.6547 0.1716 0.8263
In 0.1716 0.6547 0.8263
In 0.8269 0.8269 0.6539
La 0.7500 0.2500 0.5000

Summary:
energy relative to the elements: -0.429 eV/atom
D(E_F): 10.14 states/eV/cell
VASP energy: -4.123 eV/atom
space group: Fmmm
total magnetization: 0.00 μB/f.u.



VASP calculation (PBE) on an optimized crystal structure of LaIn12Cu4.

Unit cell a=8.1935 b=8.1935 c=8.1935 alpha=109.47 beta=109.47 gamma=109.47
Fractional positions:
Cu 0.5000 0.5000 0.5000
In 0.1727 0.8346 0.3380
In 0.8273 0.1654 0.6620
Cu 0.0000 0.0000 0.5000
In 0.4966 0.8346 0.6620
In 0.6620 0.4966 0.8346
In 0.3380 0.5034 0.1654
In 0.8346 0.6620 0.4966
La 0.0000 0.0000 0.0000
In 0.5034 0.1654 0.3380
In 0.8346 0.3380 0.1727
Cu 0.5000 0.0000 0.0000
In 0.1654 0.3380 0.5034
In 0.1654 0.6620 0.8273
Cu 0.0000 0.5000 0.0000
In 0.6620 0.8273 0.1654
In 0.3380 0.1727 0.8346

Summary:
energy relative to the elements: 0.003 eV/atom
D(E_F): 7.08 states/eV/cell
VASP energy: -3.184 eV/atom
space group: Im-3
total magnetization: 0.00 μB/f.u.



VASP calculation (PBE) on an optimized crystal structure of LaIn6Cu6.

Unit cell a=5.5160 b=7.1709 c=7.1709 alpha=81.18 beta=67.38 gamma=67.38
Fractional positions:
In 0.3107 0.1893 0.1893
Cu 0.5000 0.2348 0.7652
In 0.6893 0.8107 0.8107
In 0.3451 0.6549 0.6549
In 0.6549 0.3451 0.3451
Cu 0.5000 0.0000 0.5000
Cu 0.5000 0.5000 0.0000
La 0.0000 0.0000 0.0000
In 0.0000 0.3396 0.6604
Cu 0.5000 0.7652 0.2348
Cu 0.0000 0.5000 0.0000
Cu 0.0000 0.0000 0.5000
In 0.0000 0.6604 0.3396

Summary:
energy relative to the elements: -0.150 eV/atom
D(E_F): 2.57 states/eV/cell
VASP energy: -3.683 eV/atom
space group: Immm
total magnetization: 0.00 μB/f.u.